DFT (PBE) results for crystalline NpCu2O6 at its relaxed geometry.

a b c (Å): 3.7332 9.2182 8.4829
angles (deg): 80.30 116.10 113.90
Element x y z (fractional)
Cu1 0.4480 0.4206 0.2774
Cu2 0.0332 0.7637 0.5197
Cu3 0.5520 0.5794 0.7226
O1 0.9019 0.3688 0.2830
O2 0.4993 0.3935 0.8558
Np1 0.3756 0.1823 0.9433
O3 0.5007 0.6065 0.1442
O4 0.4935 0.2788 0.4646
Np2 0.6244 0.8177 0.0567
O5 0.0491 0.2539 0.0453
O6 0.6206 0.9874 0.8830
Cu4 0.9668 0.2363 0.4803
O7 0.9334 0.8705 0.3131
O8 0.0981 0.6312 0.7170
O9 0.5065 0.7212 0.5354
O10 0.9509 0.7461 0.9547
O11 0.0666 0.1295 0.6869
O12 0.3794 0.0126 0.1170

Calculated values
Density   6.38 Mg/m³
Symmetry   P2_1/m
Crystal system   monoclinic
Formation energy from raw total energies   -1.34 eV per atom